Crystalline Sm2Dy2Ho5 at its relaxed geometry. Source: Alexandria, functional PBE.

The total energy is -0.16062 Ha/atom. The calculation puts the distance to the lowest polymorph of the same formula at 24 meV per atom. The calculation puts the density of states at the Fermi level at 12.645 states/eV/f.u. As for the space-group type: No. 12. For the total moment, the calculation gives 0.0 μB/f.u.

abc: 3.4865 8.1848 12.4835
angles: 120.73 98.03 90.00
Positions (direct):
1 Sm 0.8178 0.7823 0.6357
2 Sm 0.1822 0.2177 0.3643
3 Dy 0.5469 0.7392 0.0939
4 Dy 0.4531 0.2608 0.9061
5 Ho 0.6905 0.8532 0.3809
6 Ho 0.3095 0.1468 0.6191
7 Ho 0.9027 0.5408 0.8055
8 Ho 0.0973 0.4592 0.1945
9 Ho 0.0000 0.0000 0.0000